Entry 1:
! PBE-GGA NdYGa2Pt2, optimized geometry; values from VASP
&SYSTEM
  ibrav = 0, nat = 6, ntyp = 4
/
ATOMIC_SPECIES
Nd 144.24 Nd.upf
Y 88.91 Y.upf
Ga 69.72 Ga.upf
Pt 195.08 Pt.upf
CELL_PARAMETERS angstrom
4.4836 0.0000 0.0000
-2.2418 3.8829 0.0000
0.0000 0.0000 7.2098
ATOMIC_POSITIONS crystal
Nd 0.0000 0.0000 0.0000
Y 0.0000 0.0000 0.5000
Ga 0.3333 0.6667 0.2683
Ga 0.6667 0.3333 0.7317
Pt 0.3333 0.6667 0.7314
Pt 0.6667 0.3333 0.2686
! **SG**: P-3m1
! **DFT total energy**: -0.437 Ry/atom
! **ΔE_f**: -1.05 eV per atom


Entry 2:
! PBE-GGA Pm5ZnPd4, optimized geometry; values from VASP
&SYSTEM
  ibrav = 0, nat = 10, ntyp = 3
/
ATOMIC_SPECIES
Pm 145.00 Pm.upf
Zn 65.41 Zn.upf
Pd 106.42 Pd.upf
CELL_PARAMETERS angstrom
3.6111 0.0000 0.0000
0.0000 3.6111 0.0000
0.0000 0.0000 18.0376
ATOMIC_POSITIONS crystal
Pm 0.0000 0.0000 0.0000
Pm 0.0000 0.0000 0.1991
Pm 0.0000 0.0000 0.3975
Pm 0.0000 0.0000 0.6025
Pm 0.0000 0.0000 0.8009
Zn 0.5000 0.5000 0.5000
Pd 0.5000 0.5000 0.0997
Pd 0.5000 0.5000 0.2996
Pd 0.5000 0.5000 0.7004
Pd 0.5000 0.5000 0.9003
! **SG**: P4/mmm
! **DFT total energy**: -0.386 Ry/atom
! **ΔE_f**: -0.67 eV per atom